No. 1
# Ho3Mg3InIr2 PBE-GGA optimized geometry
data_Ho3Mg3InIr2
_symmetry_space_group_name_H-M 'P -6 2 m'
_symmetry_Int_Tables_number 189
_symmetry_space_group_name_Hall 'P -6 -2'
_cell_length_a 7.3348
_cell_length_b 7.3348
_cell_length_c 4.2304
_cell_angle_alpha 90.00
_cell_angle_beta 90.00
_cell_angle_gamma 120.00
loop_
_atom_site_label
_atom_site_type_symbol
_atom_site_fract_x
_atom_site_fract_y
_atom_site_fract_z
_atom_site_occupancy
Ho1 Ho 0.0000 0.5708 0.0000 1
Mg1 Mg 0.0000 0.2582 0.5000 1
In1 In 0.0000 0.0000 0.0000 1
Ir1 Ir 0.3333 0.6667 0.5000 1
# **Calculated total energy**: -4.8198 eV per atom
# **ρ**: 8.99 g/cm³

No. 2
# NdHoIn2Ir4 PBE-GGA optimized geometry
data_NdHoIn2Ir4
_symmetry_space_group_name_H-M 'P -6 m 2'
_symmetry_Int_Tables_number 187
_symmetry_space_group_name_Hall 'P -6 2'
_cell_length_a 4.5824
_cell_length_b 4.5824
_cell_length_c 8.9629
_cell_angle_alpha 90.00
_cell_angle_beta 90.00
_cell_angle_gamma 120.00
loop_
_atom_site_label
_atom_site_type_symbol
_atom_site_fract_x
_atom_site_fract_y
_atom_site_fract_z
_atom_site_occupancy
Nd1 Nd 0.0000 0.0000 0.0000 1
Ho1 Ho 0.3333 0.6667 0.5000 1
In1 In 0.6667 0.3333 0.2539 1
Ir1 Ir 0.0000 0.0000 0.3562 1
Ir2 Ir 0.3333 0.6667 0.1656 1
# **Calculated total energy**: -6.6568 eV per atom
# **ρ**: 13.32 g/cm³

No. 3
# Ho3In3Ni2Ir PBE-GGA optimized geometry
data_Ho3In3Ni2Ir
_symmetry_space_group_name_H-M 'P -6 2 m'
_symmetry_Int_Tables_number 189
_symmetry_space_group_name_Hall 'P -6 -2'
_cell_length_a 7.4079
_cell_length_b 7.4079
_cell_length_c 3.9229
_cell_angle_alpha 90.00
_cell_angle_beta 90.00
_cell_angle_gamma 120.00
loop_
_atom_site_label
_atom_site_type_symbol
_atom_site_fract_x
_atom_site_fract_y
_atom_site_fract_z
_atom_site_occupancy
Ho1 Ho 0.0000 0.4051 0.0000 1
In1 In 0.0000 0.7358 0.5000 1
Ni1 Ni 0.3333 0.6667 0.5000 1
Ir1 Ir 0.0000 0.0000 0.0000 1
# **Calculated total energy**: -5.1998 eV per atom
# **ρ**: 10.23 g/cm³

No. 4
# Ho2In4NiIr PBE-GGA optimized geometry
data_Ho2In4NiIr
_symmetry_space_group_name_H-M 'A m m 2'
_symmetry_Int_Tables_number 38
_symmetry_space_group_name_Hall 'A 2 -2'
_cell_length_a 7.7181
_cell_length_b 4.3242
_cell_length_c 10.2996
_cell_angle_alpha 90.00
_cell_angle_beta 90.00
_cell_angle_gamma 90.00
loop_
_atom_site_label
_atom_site_type_symbol
_atom_site_fract_x
_atom_site_fract_y
_atom_site_fract_z
_atom_site_occupancy
Ho1 Ho 0.0000 0.0000 0.0000 1
Ho2 Ho 0.5000 0.0000 0.1409 1
In1 In 0.2071 0.0000 0.7157 1
In2 In 0.3066 0.0000 0.4313 1
Ni1 Ni 0.5000 0.0000 0.8580 1
Ir1 Ir 0.0000 0.0000 0.2905 1
# **Calculated total energy**: -4.8006 eV per atom
# **ρ**: 10.05 g/cm³

No. 5
# Ho3In3NiIr2 PBE-GGA optimized geometry
data_Ho3In3NiIr2
_symmetry_space_group_name_H-M 'P -6 2 m'
_symmetry_Int_Tables_number 189
_symmetry_space_group_name_Hall 'P -6 -2'
_cell_length_a 7.5504
_cell_length_b 7.5504
_cell_length_c 3.7847
_cell_angle_alpha 90.00
_cell_angle_beta 90.00
_cell_angle_gamma 120.00
loop_
_atom_site_label
_atom_site_type_symbol
_atom_site_fract_x
_atom_site_fract_y
_atom_site_fract_z
_atom_site_occupancy
Ho1 Ho 0.0000 0.4107 0.0000 1
In1 In 0.0000 0.7494 0.5000 1
Ni1 Ni 0.0000 0.0000 0.0000 1
Ir1 Ir 0.3333 0.6667 0.5000 1
# **Calculated total energy**: -5.6966 eV per atom
# **ρ**: 11.40 g/cm³

No. 6
# Ho3InNiSn2Ir2 PBE-GGA optimized geometry
data_Ho3InNiSn2Ir2
_symmetry_space_group_name_H-M 'A m m 2'
_symmetry_Int_Tables_number 38
_symmetry_space_group_name_Hall 'A 2 -2'
_cell_length_a 3.7712
_cell_length_b 13.0659
_cell_length_c 7.5492
_cell_angle_alpha 90.00
_cell_angle_beta 90.00
_cell_angle_gamma 90.00
loop_
_atom_site_label
_atom_site_type_symbol
_atom_site_fract_x
_atom_site_fract_y
_atom_site_fract_z
_atom_site_occupancy
Ho1 Ho 0.0000 0.0000 0.0000 1
Ho2 Ho 0.0000 0.2039 0.3856 1
In1 In 0.5000 0.0000 0.3359 1
Ni1 Ni 0.0000 0.0000 0.5979 1
Sn1 Sn 0.5000 0.1266 0.7167 1
Ir1 Ir 0.5000 0.1685 0.0883 1
# **Calculated total energy**: -6.0635 eV per atom
# **ρ**: 11.52 g/cm³

No. 7
# Ho3In3IrPd2 PBE-GGA optimized geometry
data_Ho3In3IrPd2
_symmetry_space_group_name_H-M 'P -6 2 m'
_symmetry_Int_Tables_number 189
_symmetry_space_group_name_Hall 'P -6 -2'
_cell_length_a 7.5764
_cell_length_b 7.5764
_cell_length_c 3.9366
_cell_angle_alpha 90.00
_cell_angle_beta 90.00
_cell_angle_gamma 120.00
loop_
_atom_site_label
_atom_site_type_symbol
_atom_site_fract_x
_atom_site_fract_y
_atom_site_fract_z
_atom_site_occupancy
Ho1 Ho 0.0000 0.3992 0.0000 1
In1 In 0.0000 0.7413 0.5000 1
Ir1 Ir 0.0000 0.0000 0.0000 1
Pd1 Pd 0.3333 0.6667 0.5000 1
# **Calculated total energy**: -5.3380 eV per atom
# **ρ**: 10.56 g/cm³

No. 8
# Ho3In3Ir2Pd PBE-GGA optimized geometry
data_Ho3In3Ir2Pd
_symmetry_space_group_name_H-M 'P -6 2 m'
_symmetry_Int_Tables_number 189
_symmetry_space_group_name_Hall 'P -6 -2'
_cell_length_a 7.5868
_cell_length_b 7.5868
_cell_length_c 3.8590
_cell_angle_alpha 90.00
_cell_angle_beta 90.00
_cell_angle_gamma 120.00
loop_
_atom_site_label
_atom_site_type_symbol
_atom_site_fract_x
_atom_site_fract_y
_atom_site_fract_z
_atom_site_occupancy
Ho1 Ho 0.0000 0.4109 0.0000 1
In1 In 0.0000 0.7396 0.5000 1
Ir1 Ir 0.3333 0.6667 0.5000 1
Pd1 Pd 0.0000 0.0000 0.0000 1
# **Calculated total energy**: -5.7376 eV per atom
# **ρ**: 11.48 g/cm³

No. 9
# Ho2In4IrPd PBE-GGA optimized geometry
data_Ho2In4IrPd
_symmetry_space_group_name_H-M 'A m m 2'
_symmetry_Int_Tables_number 38
_symmetry_space_group_name_Hall 'A 2 -2'
_cell_length_a 7.7033
_cell_length_b 4.4172
_cell_length_c 10.3816
_cell_angle_alpha 90.00
_cell_angle_beta 90.00
_cell_angle_gamma 90.00
loop_
_atom_site_label
_atom_site_type_symbol
_atom_site_fract_x
_atom_site_fract_y
_atom_site_fract_z
_atom_site_occupancy
Ho1 Ho 0.0000 0.0000 0.0000 1
Ho2 Ho 0.5000 0.0000 0.1465 1
In1 In 0.2008 0.0000 0.7114 1
In2 In 0.3001 0.0000 0.4327 1
Ir1 Ir 0.5000 0.0000 0.8579 1
Pd1 Pd 0.0000 0.0000 0.2847 1
# **Calculated total energy**: -4.8502 eV per atom
# **ρ**: 10.23 g/cm³

No. 10
# Tb2HoIn3Ir2Pd PBE-GGA optimized geometry
data_Tb2HoIn3Ir2Pd
_symmetry_space_group_name_H-M 'A m m 2'
_symmetry_Int_Tables_number 38
_symmetry_space_group_name_Hall 'A 2 -2'
_cell_length_a 3.8812
_cell_length_b 13.1544
_cell_length_c 7.6289
_cell_angle_alpha 90.00
_cell_angle_beta 90.00
_cell_angle_gamma 90.00
loop_
_atom_site_label
_atom_site_type_symbol
_atom_site_fract_x
_atom_site_fract_y
_atom_site_fract_z
_atom_site_occupancy
Tb1 Tb 0.0000 0.2057 0.0000 1
Ho1 Ho 0.0000 0.0000 0.3841 1
In1 In 0.5000 0.0000 0.0548 1
In2 In 0.5000 0.1295 0.6648 1
Ir1 Ir 0.5000 0.1657 0.2955 1
Pd1 Pd 0.0000 0.0000 0.7943 1
# **Calculated total energy**: -5.7460 eV per atom
# **ρ**: 11.24 g/cm³

No. 11
# Ho2TmIn3Ir2Pd PBE-GGA optimized geometry
data_Ho2TmIn3Ir2Pd
_symmetry_space_group_name_H-M 'A m m 2'
_symmetry_Int_Tables_number 38
_symmetry_space_group_name_Hall 'A 2 -2'
_cell_length_a 3.8369
_cell_length_b 13.1337
_cell_length_c 7.6114
_cell_angle_alpha 90.00
_cell_angle_beta 90.00
_cell_angle_gamma 90.00
loop_
_atom_site_label
_atom_site_type_symbol
_atom_site_fract_x
_atom_site_fract_y
_atom_site_fract_z
_atom_site_occupancy
Ho1 Ho 0.0000 0.2051 0.0000 1
Tm1 Tm 0.0000 0.0000 0.3855 1
In1 In 0.5000 0.0000 0.0568 1
In2 In 0.5000 0.1300 0.6642 1
Ir1 Ir 0.5000 0.1656 0.2958 1
Pd1 Pd 0.0000 0.0000 0.7941 1
# **Calculated total energy**: -5.7260 eV per atom
# **ρ**: 11.55 g/cm³

No. 12
# Y2HoIn3Ir2Pd PBE-GGA optimized geometry
data_Y2HoIn3Ir2Pd
_symmetry_space_group_name_H-M 'A m m 2'
_symmetry_Int_Tables_number 38
_symmetry_space_group_name_Hall 'A 2 -2'
_cell_length_a 3.8746
_cell_length_b 13.1060
_cell_length_c 7.6483
_cell_angle_alpha 90.00
_cell_angle_beta 90.00
_cell_angle_gamma 90.00
loop_
_atom_site_label
_atom_site_type_symbol
_atom_site_fract_x
_atom_site_fract_y
_atom_site_fract_z
_atom_site_occupancy
Y1 Y 0.0000 0.2054 0.0000 1
Ho1 Ho 0.0000 0.0000 0.3841 1
In1 In 0.5000 0.0000 0.0528 1
In2 In 0.5000 0.1309 0.6659 1
Ir1 Ir 0.5000 0.1636 0.2967 1
Pd1 Pd 0.0000 0.0000 0.7924 1
# **Calculated total energy**: -6.1529 eV per atom
# **ρ**: 10.07 g/cm³

No. 13
# Ho3In3Ir2Pt PBE-GGA optimized geometry
data_Ho3In3Ir2Pt
_symmetry_space_group_name_H-M 'P -6 2 m'
_symmetry_Int_Tables_number 189
_symmetry_space_group_name_Hall 'P -6 -2'
_cell_length_a 7.5464
_cell_length_b 7.5464
_cell_length_c 3.9018
_cell_angle_alpha 90.00
_cell_angle_beta 90.00
_cell_angle_gamma 120.00
loop_
_atom_site_label
_atom_site_type_symbol
_atom_site_fract_x
_atom_site_fract_y
_atom_site_fract_z
_atom_site_occupancy
Ho1 Ho 0.0000 0.4076 0.0000 1
In1 In 0.0000 0.7386 0.5000 1
Ir1 Ir 0.3333 0.6667 0.5000 1
Pt1 Pt 0.0000 0.0000 0.0000 1
# **Calculated total energy**: -5.8801 eV per atom
# **ρ**: 12.24 g/cm³

No. 14
# Ho3In3IrPt PBE-GGA optimized geometry
data_Ho3In3IrPt
_symmetry_space_group_name_H-M 'P -6'
_symmetry_Int_Tables_number 174
_symmetry_space_group_name_Hall 'P -6'
_cell_length_a 7.6366
_cell_length_b 7.6366
_cell_length_c 3.6458
_cell_angle_alpha 90.00
_cell_angle_beta 90.00
_cell_angle_gamma 120.00
loop_
_atom_site_label
_atom_site_type_symbol
_atom_site_fract_x
_atom_site_fract_y
_atom_site_fract_z
_atom_site_occupancy
Ho1 Ho 0.0913 0.3404 0.0000 1
In1 In 0.4344 0.3358 0.5000 1
Ir1 Ir 0.3333 0.6667 0.5000 1
Pt1 Pt 0.0000 0.0000 0.5000 1
# **Calculated total energy**: -5.3857 eV per atom
# **ρ**: 11.06 g/cm³

No. 15
# Ho2In4IrPt PBE-GGA optimized geometry
data_Ho2In4IrPt
_symmetry_space_group_name_H-M 'A m m 2'
_symmetry_Int_Tables_number 38
_symmetry_space_group_name_Hall 'A 2 -2'
_cell_length_a 7.7277
_cell_length_b 4.3888
_cell_length_c 10.3574
_cell_angle_alpha 90.00
_cell_angle_beta 90.00
_cell_angle_gamma 90.00
loop_
_atom_site_label
_atom_site_type_symbol
_atom_site_fract_x
_atom_site_fract_y
_atom_site_fract_z
_atom_site_occupancy
Ho1 Ho 0.0000 0.0000 0.0000 1
Ho2 Ho 0.5000 0.0000 0.1470 1
In1 In 0.2018 0.0000 0.7121 1
In2 In 0.3010 0.0000 0.4340 1
Ir1 Ir 0.5000 0.0000 0.8575 1
Pt1 Pt 0.0000 0.0000 0.2879 1
# **Calculated total energy**: -5.0098 eV per atom
# **ρ**: 11.12 g/cm³

No. 16
# TbHoIn4Ir2 PBE-GGA optimized geometry
data_TbHoIn4Ir2
_symmetry_space_group_name_H-M 'A m m 2'
_symmetry_Int_Tables_number 38
_symmetry_space_group_name_Hall 'A 2 -2'
_cell_length_a 8.0479
_cell_length_b 4.3154
_cell_length_c 10.1704
_cell_angle_alpha 90.00
_cell_angle_beta 90.00
_cell_angle_gamma 90.00
loop_
_atom_site_label
_atom_site_type_symbol
_atom_site_fract_x
_atom_site_fract_y
_atom_site_fract_z
_atom_site_occupancy
Tb1 Tb 0.0000 0.0000 0.0000 1
Ho1 Ho 0.5000 0.0000 0.8570 1
In1 In 0.2004 0.0000 0.2866 1
In2 In 0.3009 0.0000 0.5710 1
Ir1 Ir 0.0000 0.0000 0.7079 1
Ir2 Ir 0.5000 0.0000 0.1497 1
# **Calculated total energy**: -5.2730 eV per atom
# **ρ**: 10.98 g/cm³

No. 17
# Ho2TmIn3Ir2 PBE-GGA optimized geometry
data_Ho2TmIn3Ir2
_symmetry_space_group_name_H-M 'A m m 2'
_symmetry_Int_Tables_number 38
_symmetry_space_group_name_Hall 'A 2 -2'
_cell_length_a 3.6339
_cell_length_b 13.1453
_cell_length_c 7.5996
_cell_angle_alpha 90.00
_cell_angle_beta 90.00
_cell_angle_gamma 90.00
loop_
_atom_site_label
_atom_site_type_symbol
_atom_site_fract_x
_atom_site_fract_y
_atom_site_fract_z
_atom_site_occupancy
Ho1 Ho 0.0000 0.2109 0.0000 1
Tm1 Tm 0.0000 0.0000 0.3668 1
In1 In 0.5000 0.0000 0.0246 1
In2 In 0.5000 0.1171 0.6712 1
Ir1 Ir 0.5000 0.1659 0.2895 1
# **Calculated total energy**: -5.6006 eV per atom
# **ρ**: 11.23 g/cm³

No. 18
# HoTmIn2Ir4 PBE-GGA optimized geometry
data_HoTmIn2Ir4
_symmetry_space_group_name_H-M 'P -6 m 2'
_symmetry_Int_Tables_number 187
_symmetry_space_group_name_Hall 'P -6 2'
_cell_length_a 4.5508
_cell_length_b 4.5508
_cell_length_c 8.8465
_cell_angle_alpha 90.00
_cell_angle_beta 90.00
_cell_angle_gamma 120.00
loop_
_atom_site_label
_atom_site_type_symbol
_atom_site_fract_x
_atom_site_fract_y
_atom_site_fract_z
_atom_site_occupancy
Ho1 Ho 0.0000 0.0000 0.0000 1
Tm1 Tm 0.6667 0.3333 0.5000 1
In1 In 0.3333 0.6667 0.2502 1
Ir1 Ir 0.0000 0.0000 0.3562 1
Ir2 Ir 0.6667 0.3333 0.1459 1
# **Calculated total energy**: -6.6881 eV per atom
# **ρ**: 13.94 g/cm³

No. 19
# YHoIn2Ir4 PBE-GGA optimized geometry
data_YHoIn2Ir4
_symmetry_space_group_name_H-M 'P -6 m 2'
_symmetry_Int_Tables_number 187
_symmetry_space_group_name_Hall 'P -6 2'
_cell_length_a 4.5672
_cell_length_b 4.5672
_cell_length_c 8.8759
_cell_angle_alpha 90.00
_cell_angle_beta 90.00
_cell_angle_gamma 120.00
loop_
_atom_site_label
_atom_site_type_symbol
_atom_site_fract_x
_atom_site_fract_y
_atom_site_fract_z
_atom_site_occupancy
Y1 Y 0.0000 0.0000 0.0000 1
Ho1 Ho 0.3333 0.6667 0.5000 1
In1 In 0.6667 0.3333 0.2494 1
Ir1 Ir 0.0000 0.0000 0.3564 1
Ir2 Ir 0.3333 0.6667 0.1465 1
# **Calculated total energy**: -6.9175 eV per atom
# **ρ**: 12.97 g/cm³

No. 20
# YHo2In3Ir2 PBE-GGA optimized geometry
data_YHo2In3Ir2
_symmetry_space_group_name_H-M 'A m m 2'
_symmetry_Int_Tables_number 38
_symmetry_space_group_name_Hall 'A 2 -2'
_cell_length_a 3.6657
_cell_length_b 13.1705
_cell_length_c 7.5870
_cell_angle_alpha 90.00
_cell_angle_beta 90.00
_cell_angle_gamma 90.00
loop_
_atom_site_label
_atom_site_type_symbol
_atom_site_fract_x
_atom_site_fract_y
_atom_site_fract_z
_atom_site_occupancy
Y1 Y 0.0000 0.0000 0.0000 1
Ho1 Ho 0.0000 0.2109 0.6316 1
In1 In 0.5000 0.0000 0.6555 1
In2 In 0.5000 0.1178 0.3031 1
Ir1 Ir 0.5000 0.1688 0.9197 1
# **Calculated total energy**: -5.8427 eV per atom
# **ρ**: 10.41 g/cm³